Mg2CrFe after structural relaxation. Source: Alexandria, functional PBE-GGA.

Calculated values
Crystal system: orthorhombic
Formation energy, eV per atom: 0.34
V, Å³ per cell: 127
Calculated total energy, eV for the cell shown: -39.8

Cell: 3.1279 4.6083 8.8064 Å, 90.00 90.00 90.00°
With the nearest neighbours (Å) after each atom.
Space group Imm2 (No. 44)
Inequivalent atoms, fractional coordinates:
Mg (0.0000, 0.0000, 0.0000) [2 per cell]  4 Fe 2.80, 4 Cr 2.90-3.03, 6 Mg 2.92-3.13
Mg (0.0000, 0.5000, 0.2204) [2 per cell]  2 Fe 2.76, 4 Cr 2.83, 4 Mg 2.92-3.01
Cr (0.0000, 0.5000, 0.7771) [2 per cell]  2 Fe 2.26
Fe (0.0000, 0.0000, 0.4619) [2 per cell]  2 Cr 2.26

=====

Nd2Ge2Ir after structural relaxation. Source: Alexandria, functional PBE-GGA.

Calculated values
Crystal system: monoclinic
Formation energy, eV per atom: -0.47
V, Å³ per cell: 484
Calculated total energy, eV for the cell shown: -119.8

Cell: 11.2412 4.1908 10.2891 Å, 90.00 91.75 90.00°
With the nearest neighbours (Å) after each atom.
Space group C2/m (No. 12)
Inequivalent atoms, fractional coordinates:
Nd (0.1320, 0.0000, 0.4703) [4 per cell]  1 Ir 3.01, 1 Nd 3.05, 2 Ge 3.12
Nd (0.2119, 0.5000, 0.2022) [4 per cell]  3 Ge 2.93-3.08, 3 Ir 3.15-3.27
Ge (0.0658, 0.5000, 0.6803) [4 per cell]  2 Ir 2.51
Ge (0.1162, 0.0000, 0.0055) [4 per cell]  2 Ir 2.49-2.55, 1 Ge 2.61
Ir (0.0025, 0.0000, 0.2100) [4 per cell]  4 Ge 2.49-2.55

=====

TaMnCu2 after structural relaxation. Source: Alexandria, functional PBE-GGA.

Calculated values
Crystal system: trigonal
Formation energy, eV per atom: 0.25
V, Å³ per cell: 173
Calculated total energy, eV for the cell shown: -84.7

Cell: 2.7822 2.7822 25.8045 Å, 90.00 90.00 120.00°
With the nearest neighbours (Å) after each atom.
Space group R3m (No. 160, hexagonal axes)
Inequivalent atoms, fractional coordinates:
Ta (0.0000, 0.0000, 0.0000) [3 per cell]  6 Ta 2.78, 3 Cu 2.78, 3 Mn 2.81
Mn (0.0000, 0.0000, 0.2442) [3 per cell]  3 Cu 2.59, 6 Mn 2.78, 3 Ta 2.81
Cu (0.0000, 0.0000, 0.4986) [3 per cell]  9 Cu 2.56-2.78, 3 Mn 2.59
Cu (0.0000, 0.0000, 0.7548) [3 per cell]  9 Cu 2.56-2.78, 3 Ta 2.78